Record 1
{"formula": "PuSO6", "functional": "GGA-PBE", "state": "optimized geometry", "lattice": [[2.7545, -4.3613, 0.0000], [2.7545, 4.3613, 0.0000], [-1.7392, 0.0000, 5.0435]], "species": ["Pu", "S", "O", "O", "O", "O", "O", "O"], "frac_coords": [[0.0000, 0.0000, 0.0000], [0.5000, 0.5000, 0.5000], [0.1920, 0.1920, 0.7862], [0.2025, 0.4578, 0.3169], [0.4578, 0.2025, 0.3169], [0.5422, 0.7975, 0.6831], [0.7975, 0.5422, 0.6831], [0.8080, 0.8080, 0.2138]], "m_tot_mub_per_fu": 2.000, "crystal_system": "monoclinic"}

=====

Record 2
{"formula": "PuS2O12", "functional": "GGA-PBE", "state": "optimized geometry", "lattice": [[0.0000, 7.0699, 13.2896], [2.6864, 0.0000, 13.2896], [2.6864, 7.0699, 0.0000]], "species": ["Pu", "Pu", "S", "S", "S", "S", "O", "O", "O", "O", "O", "O", "O", "O", "O", "O", "O", "O", "O", "O", "O", "O", "O", "O", "O", "O", "O", "O", "O", "O"], "frac_coords": [[0.1250, 0.1250, 0.1250], [0.8750, 0.8750, 0.8750], [0.1830, 0.1830, 0.5670], [0.4330, 0.4330, 0.8170], [0.5670, 0.5670, 0.1830], [0.8170, 0.8170, 0.4330], [0.0237, 0.5466, 0.2702], [0.0760, 0.5775, 0.7139], [0.1127, 0.1857, 0.4722], [0.1326, 0.7139, 0.5775], [0.1857, 0.1127, 0.7294], [0.2702, 0.6595, 0.0237], [0.2706, 0.5278, 0.8143], [0.2861, 0.8674, 0.9240], [0.3405, 0.7298, 0.4534], [0.4225, 0.9240, 0.8674], [0.4534, 0.9763, 0.3405], [0.4722, 0.7294, 0.1127], [0.5278, 0.2706, 0.8873], [0.5466, 0.0237, 0.6595], [0.5775, 0.0760, 0.1326], [0.6595, 0.2702, 0.5466], [0.7139, 0.1326, 0.0760], [0.7294, 0.4722, 0.1857], [0.7298, 0.3405, 0.9763], [0.8143, 0.8873, 0.2706], [0.8674, 0.2861, 0.4225], [0.8873, 0.8143, 0.5278], [0.9240, 0.4225, 0.2861], [0.9763, 0.4534, 0.7298]], "m_tot_mub_per_fu": 4.078, "crystal_system": "orthorhombic"}

=====

Record 3
{"formula": "Pu2SO", "functional": "GGA-PBE", "state": "optimized geometry", "lattice": [[-2.6857, 2.6857, 5.1906], [2.6857, -2.6857, 5.1906], [2.6857, 2.6857, -5.1906]], "species": ["Pu", "Pu", "Pu", "Pu", "S", "S", "O", "O"], "frac_coords": [[0.1060, 0.3560, 0.7500], [0.3560, 0.1060, 0.2500], [0.6440, 0.8940, 0.7500], [0.8940, 0.6440, 0.2500], [0.3750, 0.6250, 0.7500], [0.6250, 0.3750, 0.2500], [0.1250, 0.8750, 0.2500], [0.8750, 0.1250, 0.7500]], "e_above_lowest_polymorph_mev_per_atom": 0, "m_tot_mub_per_fu": 11.141, "crystal_system": "tetragonal"}

=====

Uncorrected formation energy for every record listed, in sequence, given in meV per atom: -1417.7; -990.4; -1988.7.